Entry from Alexandria: crystalline LaTi3V at its relaxed geometry (GGA-PBE).

Fermi-level density of states	7.0	states/eV/f.u.
ΔH_f (0 K)	1445	meV/atom
total moment	0.508	μB per atom
raw total energy	-6.101	eV per atom

Cell and atoms, written as POSCAR:
```
LaTi3V
1.0
4.7751 0.0000 0.0000
0.0000 4.7751 0.0000
0.0000 0.0000 4.7751
La Ti V
1 3 1
direct
0.0000 0.0000 0.0000
0.0000 0.0000 0.5000
0.0000 0.5000 0.0000
0.5000 0.0000 0.0000
0.5000 0.5000 0.5000
```